1:
Here is CsPuTl after structural relaxation from OQMD via LeMat-Bulk. Energies are from GGA-PBE.

a = 8.241 Å, b = 8.241 Å, c = 8.241 Å
α = 90.00°, β = 90.00°, γ = 90.00°
Space group F-43m (No. 216)
One atom of each set of equivalent atoms:
Cs: 0.000 0.000 0.000
Pu: 0.250 0.250 0.750
Tl: 0.250 0.250 0.250


2:
Here is CsPuTl after structural relaxation from OQMD via LeMat-Bulk. Energies are from GGA-PBE.

a = 8.763 Å, b = 8.763 Å, c = 8.763 Å
α = 90.00°, β = 90.00°, γ = 90.00°
Space group F-43m (No. 216)
One atom of each set of equivalent atoms:
Cs: 0.000 0.000 0.000
Pu: 0.250 0.250 0.250
Tl: 0.000 0.000 0.500


Result of the stability comparison: 2 is the most stable of them.


1:
Here is CsTmPu after structural relaxation from OQMD via LeMat-Bulk. Energies are from GGA-PBE.

a = 8.625 Å, b = 8.625 Å, c = 8.625 Å
α = 90.00°, β = 90.00°, γ = 90.00°
Space group F-43m (No. 216)
One atom of each set of equivalent atoms:
Cs: 0.000 0.000 0.000
Tm: 0.250 0.250 0.250
Pu: 0.000 0.000 0.500


2:
Here is CsTmPu after structural relaxation from OQMD via LeMat-Bulk. Energies are from GGA-PBE.

a = 8.015 Å, b = 8.015 Å, c = 8.015 Å
α = 90.00°, β = 90.00°, γ = 90.00°
Space group F-43m (No. 216)
One atom of each set of equivalent atoms:
Cs: 0.000 0.000 0.000
Tm: 0.250 0.250 0.250
Pu: 0.250 0.250 0.750


Result of the stability comparison: 1 is the most stable of them.


1:
Here is CsRbRe after structural relaxation from OQMD via LeMat-Bulk. Energies are from GGA-PBE.

a = 8.295 Å, b = 8.295 Å, c = 8.295 Å
α = 90.00°, β = 90.00°, γ = 90.00°
Space group F-43m (No. 216)
One atom of each set of equivalent atoms:
Cs: 0.000 0.000 0.000
Rb: 0.250 0.250 0.750
Re: 0.250 0.250 0.250


2:
Here is CsRbRe after structural relaxation from OQMD via LeMat-Bulk. Energies are from GGA-PBE.

a = 8.498 Å, b = 8.498 Å, c = 8.498 Å
α = 90.00°, β = 90.00°, γ = 90.00°
Space group F-43m (No. 216)
One atom of each set of equivalent atoms:
Cs: 0.000 0.000 0.000
Rb: 0.000 0.000 0.500
Re: 0.250 0.250 0.250


Result of the stability comparison: 2 is the most stable of them.


1:
Here is CsRbZrS3 after structural relaxation from OQMD via LeMat-Bulk. Energies are from GGA-PBE.

a = 16.313 Å, b = 3.981 Å, c = 11.902 Å
α = 90.00°, β = 90.00°, γ = 90.00°
Space group Pnma (No. 62)
One atom of each set of equivalent atoms:
Cs: 0.195 0.250 0.209
Rb: 0.110 0.250 0.558
Zr: 0.048 0.750 0.864
S: 0.010 0.250 0.325
S: 0.056 0.750 0.085
S: 0.153 0.250 0.842


2:
Here is CsRbZrS3 after structural relaxation from OQMD via LeMat-Bulk. Energies are from GGA-PBE.

a = 8.332 Å, b = 3.935 Å, c = 10.749 Å
α = 90.00°, β = 96.18°, γ = 90.00°
Space group P2_1/m (No. 11)
One atom of each set of equivalent atoms:
Cs: 0.082 0.250 0.148
Rb: 0.254 0.750 0.482
Zr: 0.408 0.250 0.832
S: 0.155 0.250 0.700
S: 0.328 0.750 0.981
S: 0.459 0.250 0.284


3:
Here is CsRbZrS3 after structural relaxation from OQMD via LeMat-Bulk. Energies are from GGA-PBE.

a = 3.870 Å, b = 18.391 Å, c = 11.422 Å
α = 90.00°, β = 90.00°, γ = 90.00°
Space group Cmcm (No. 63)
One atom of each set of equivalent atoms:
Cs: 0.000 0.155 0.250
Rb: 0.000 0.134 0.750
Zr: 0.000 0.500 0.000
S: 0.000 0.093 0.501
S: 0.000 0.496 0.750


Result of the stability comparison: 2 is the most stable of them.


1:
Here is CsRbZrSe3 after structural relaxation from OQMD via LeMat-Bulk. Energies are from GGA-PBE.

a = 8.637 Å, b = 4.100 Å, c = 11.208 Å
α = 90.00°, β = 96.76°, γ = 90.00°
Space group P2_1/m (No. 11)
One atom of each set of equivalent atoms:
Cs: 0.078 0.250 0.147
Rb: 0.256 0.750 0.480
Zr: 0.407 0.250 0.831
Se: 0.149 0.250 0.695
Se: 0.325 0.750 0.981
Se: 0.456 0.250 0.285


2:
Here is CsRbZrSe3 after structural relaxation from OQMD via LeMat-Bulk. Energies are from GGA-PBE.

a = 4.029 Å, b = 18.789 Å, c = 11.997 Å
α = 90.00°, β = 90.00°, γ = 90.00°
Space group Cmcm (No. 63)
One atom of each set of equivalent atoms:
Cs: 0.000 0.157 0.250
Rb: 0.000 0.133 0.750
Zr: 0.000 0.500 0.000
Se: 0.000 0.096 0.501
Se: 0.000 0.494 0.750


Result of the stability comparison: 1 is the most stable of them.


1:
Here is CsRbTa after structural relaxation from OQMD via LeMat-Bulk. Energies are from GGA-PBE.

a = 8.851 Å, b = 8.851 Å, c = 8.851 Å
α = 90.00°, β = 90.00°, γ = 90.00°
Space group F-43m (No. 216)
One atom of each set of equivalent atoms:
Cs: 0.000 0.000 0.000
Rb: 0.250 0.250 0.750
Ta: 0.250 0.250 0.250


2:
Here is CsRbTa after structural relaxation from OQMD via LeMat-Bulk. Energies are from GGA-PBE.

a = 8.992 Å, b = 8.992 Å, c = 8.992 Å
α = 90.00°, β = 90.00°, γ = 90.00°
Space group F-43m (No. 216)
One atom of each set of equivalent atoms:
Cs: 0.000 0.000 0.000
Rb: 0.000 0.000 0.500
Ta: 0.250 0.250 0.250


Result of the stability comparison: 2 is the most stable of them.